Record 1
# PuTlGe

A geometry-optimized PuTlGe structure (PBE-GGA, OQMD via LeMat-Bulk).

Unit cell a=4.877 b=4.877 c=4.877 alpha=60.00 beta=60.00 gamma=60.00
Atoms (fractional coordinates):
Ge1 0.000 0.000 0.000
Pu1 0.250 0.250 0.250
Tl1 0.750 0.750 0.750

**Space group**: F-43m (216)

=====

Record 2
# PuUGe

A geometry-optimized PuUGe structure (PBE-GGA, OQMD via LeMat-Bulk).

Unit cell a=4.833 b=4.833 c=4.833 alpha=60.00 beta=60.00 gamma=60.00
Atoms (fractional coordinates):
Ge1 0.000 0.000 0.000
Pu1 0.250 0.250 0.250
U1 0.750 0.750 0.750

**Space group**: F-43m (216)

=====

no.,final energy (eV per atom)
1,-7.10
2,-9.90